Record 1
Computed, not measured: a geometry-optimized SrLiBe2Ge structure at the PBE level of DFT.

abc: 5.224 5.224 5.338
angles: 90.00 90.00 90.00
Space group P4/mmm (No. 123)
Symmetry-distinct sites (fractional):
Sr (0.000, 0.000, 0.000) x1
Li (0.000, 0.000, 0.500) x1
Be (0.000, 0.500, 0.000) x2
Ge (0.500, 0.500, 0.500) x1

Record 2
Computed, not measured: a geometry-optimized LiTbBeGe2 structure at the PBE level of DFT.

abc: 4.025 4.025 10.334
angles: 90.00 90.00 90.00
Space group I-4m2 (No. 119)
Symmetry-distinct sites (fractional):
Li (0.000, 0.000, 0.000) x2
Tb (0.000, 0.500, 0.750) x2
Be (0.000, 0.000, 0.500) x2
Ge (0.000, 0.500, 0.129) x4

Record 3
Computed, not measured: a geometry-optimized Li2BeZnGe structure at the PBE level of DFT.

abc: 4.853 4.853 4.615
angles: 90.00 90.00 90.00
Space group P4/mmm (No. 123)
Symmetry-distinct sites (fractional):
Li (0.000, 0.500, 0.000) x2
Be (0.000, 0.000, 0.500) x1
Zn (0.500, 0.500, 0.500) x1
Ge (0.500, 0.500, 0.000) x1

Record 4
Computed, not measured: a geometry-optimized MgBeGe2 structure at the PBE level of DFT.

abc: 3.7240 3.7240 17.7360
angles: 90.00 90.00 120.00
Space group R-3m (No. 166, hexagonal axes)
Symmetry-distinct sites (fractional):
Mg (0.0000, 0.0000, 0.0000) x3
Be (0.0000, 0.0000, 0.5000) x3
Ge (0.0000, 0.0000, 0.2231) x6

Output
Distance to the lowest polymorph of the same formula in eV per atom: 0.023

Record 5
Computed, not measured: a geometry-optimized Mg2Be2Ge structure at the PBE level of DFT.

abc: 6.076 6.076 4.094
angles: 90.00 90.00 90.00
Space group P4/mbm (No. 127)
Symmetry-distinct sites (fractional):
Mg (0.168, 0.332, 0.000) x4
Be (0.125, 0.625, 0.500) x4
Ge (0.000, 0.000, 0.500) x2

Output
Distance to the lowest polymorph of the same formula in eV per atom: 0.000

Record 6
Computed, not measured: a geometry-optimized Mg2Be2Ge structure at the PBE level of DFT.

abc: 3.798 3.798 11.418
angles: 90.00 90.00 90.00
Space group I4/mmm (No. 139)
Symmetry-distinct sites (fractional):
Mg (0.000, 0.500, 0.250) x4
Be (0.000, 0.000, 0.088) x4
Ge (0.000, 0.000, 0.500) x2

Output
Distance to the lowest polymorph of the same formula in eV per atom: 0.401

Record 7
Computed, not measured: a geometry-optimized Mg2BeGe2 structure at the PBE level of DFT.

abc: 6.412 6.412 4.283
angles: 90.00 90.00 90.00
Space group P4/mbm (No. 127)
Symmetry-distinct sites (fractional):
Mg (0.173, 0.327, 0.000) x4
Be (0.000, 0.000, 0.500) x2
Ge (0.143, 0.643, 0.500) x4

Record 8
Computed, not measured: a geometry-optimized MgBeGe2 structure at the PBE level of DFT.

abc: 4.441 4.441 15.286
angles: 90.00 90.00 90.00
Space group I-42d (No. 122)
Symmetry-distinct sites (fractional):
Mg (0.000, 0.000, 0.000) x4
Be (0.000, 0.000, 0.500) x4
Ge (0.169, 0.250, 0.625) x8

Output
Distance to the lowest polymorph of the same formula in eV per atom: 0.000

no.,energy relative to the elements (meV per atom),magnetic moment (Bohr magnetons per cell),density (Mg/m³)
1,1795,0.00,2.11
2,-444,0.00,6.35
3,564,0.00,2.46
4,160,0.00,4.18
5,115,0.00,3.06
6,516,0.00,2.81
7,42,0.00,3.83
8,137,0.00,3.93